# 1
DFT (PBE-GGA) results for a relaxed structure of Sm5Er5Tm2.

Formation energy from the elements: 21 meV/atom
V: 380.29 Å³/f.u.
Symmetry: C2/m (12)
Energy: -4.59 eV/atom
Spin magnetization: 0.00 μB/f.u.

Cell lengths 7.935, 7.935, 11.253 Å; angles 115.08, 115.08, 36.87 degrees
Atoms (fractional coordinates):
Sm: 0.000 0.000 0.000
Sm: 0.084 0.084 0.751
Sm: 0.166 0.166 0.499
Sm: 0.834 0.834 0.501
Sm: 0.916 0.916 0.249
Er: 0.249 0.249 0.248
Er: 0.332 0.332 0.999
Er: 0.500 0.500 0.500
Er: 0.668 0.668 0.001
Er: 0.751 0.751 0.752
Tm: 0.417 0.417 0.751
Tm: 0.583 0.583 0.249

---

# 2
DFT (PBE-GGA) results for a relaxed structure of WICl4.

Uncorrected formation energy: -0.642 eV/atom
V: 261.68 Å³/f.u.
Symmetry: P1 (1)
Energy: -4.29 eV/atom
Spin magnetization: 1.00 μB/f.u.

Cell lengths 6.908, 7.099, 7.104 Å; angles 118.20, 94.56, 114.71 degrees
Atoms (fractional coordinates):
W: 0.000 0.000 0.000
I: 0.882 0.345 0.167
Cl: 0.013 0.019 0.693
Cl: 0.104 0.701 0.855
Cl: 0.314 0.248 0.312
Cl: 0.677 0.722 0.992